This record from Alexandria via LeMat-Bulk describes ScBr after structural relaxation. The functional is PBE.

Cell and atoms, written as POSCAR:
```
ScBr
1.0
0.000 3.075 3.075
3.075 0.000 3.075
3.075 3.075 0.000
Sc Br
1 1
Cartesian
0.000 0.000 0.000
4.613 4.613 4.613
```

Values from the calculation:
total moment	0.38	Bohr magnetons per cell
symmetry	F-43m (216)
raw formation energy	-42.17	kJ per mole of atoms